1.
DFT (SCAN) results for LaH3Ir at its PBEsol-relaxed geometry.

Cell and atoms, written as extended XYZ:
```
5
Lattice="3.762 0.000 0.000 0.000 3.762 0.000 0.000 0.000 3.762" Properties=species:S:1:pos:R:3 pbc="T T T"
H 0.000 1.881 0.000
H 0.000 0.000 1.881
H 1.881 0.000 0.000
Ir 0.000 0.000 0.000
La 1.881 1.881 1.881
```

Output
DFT total energy	-25.481	eV per atom
space-group type	No. 221
size of the total moment	0.00	μB per formula unit

=====

2.
DFT (SCAN) results for AcInAg2 at its PBEsol-relaxed geometry.

Cell and atoms, written as extended XYZ:
```
4
Lattice="5.142 0.000 0.000 2.571 4.453 0.000 2.571 1.484 4.199" Properties=species:S:1:pos:R:3 pbc="T T T"
Ac 0.000 0.000 0.000
Ag 7.713 4.453 3.149
Ag 2.571 1.484 1.050
In 5.142 2.969 2.099
```

Output
DFT total energy	-46.982	eV per atom
space-group type	No. 225
size of the total moment	0.00	μB per formula unit